--- 1 ---
PBE KSr2Y, relaxed; space-group type = Imm2, No. 44
1.0
-2.1016 3.3552 6.8495
2.1016 -3.3552 6.8495
2.1016 3.3552 -6.8495
K Sr Y
1 2 1
direct
0.0000 0.0000 0.0000
0.2572 0.7572 0.5000
0.5221 0.5221 0.0000
0.7554 0.2554 0.5000

---

--- 2 ---
PBE KSr2Y, relaxed; space-group type = Pm, No. 6
1.0
3.9010 0.0000 0.0000
0.0000 6.7146 0.0000
-0.7803 0.0000 7.3449
K Sr Y
1 2 1
direct
0.0000 0.0000 0.0000
0.4939 0.0000 0.5191
0.6447 0.5000 0.2208
0.1310 0.5000 0.6989

---

--- 3 ---
PBE KSr2Y, relaxed; space-group type = Cmm2, No. 35
1.0
2.1947 -3.2239 0.0000
2.1947 3.2239 0.0000
0.0000 0.0000 13.6411
K Sr Y
1 2 1
direct
0.0000 0.0000 0.0000
0.0000 0.0000 0.4683
0.5000 0.5000 0.7225
0.5000 0.5000 0.2500

---

--- 4 ---
PBE KSr2Y, relaxed; space-group type = Pmm2, No. 25
1.0
3.9377 0.0000 0.0000
0.0000 6.1325 0.0000
0.0000 0.0000 8.1450
K Sr Y
1 2 1
direct
0.0000 0.0000 0.0000
0.0000 0.0000 0.5281
0.5000 0.5000 0.2631
0.5000 0.5000 0.7366

---

Most stable of them? 3.

---

--- 1 ---
PBE KSr2Y, relaxed; space-group type = R3m, No. 160
1.0
2.0113 1.1613 14.0209
-2.0113 1.1613 14.0209
0.0000 -2.3225 14.0209
K Sr Y
1 2 1
direct
0.0000 0.0000 0.0000
0.5110 0.5110 0.5110
0.7588 0.7588 0.7588
0.2498 0.2498 0.2498

---

--- 2 ---
PBE KSr2Y, relaxed; space-group type = P4/mmm, No. 123
1.0
6.7187 0.0000 0.0000
0.0000 6.7187 0.0000
0.0000 0.0000 4.2201
K Sr Y
1 2 1
direct
0.0000 0.0000 0.0000
0.0000 0.5000 0.5000
0.5000 0.0000 0.5000
0.5000 0.5000 0.0000

---

--- 3 ---
PBE KSr2Y, relaxed; space-group type = R-3m, No. 166
1.0
2.0318 1.1731 13.7829
-2.0318 1.1731 13.7829
0.0000 -2.3461 13.7829
K Sr Y
1 2 1
direct
0.0000 0.0000 0.0000
0.2401 0.2401 0.2401
0.7599 0.7599 0.7599
0.5000 0.5000 0.5000

---

Most stable of them? 3.